*1*
CsNbI2O, relaxed, DFT PBE; space group = P4/mmm (123); N(E_F) = 1.81 states/eV/f.u.
1.0
6.2200 0.0000 0.0000
0.0000 6.2200 0.0000
0.0000 0.0000 4.0273
Cs I Nb O
1 2 1 1
Direct
0.5000 0.5000 0.5000 Cs
0.0000 0.5000 0.0000 I
0.5000 0.0000 0.0000 I
0.0000 0.0000 0.0000 Nb
0.0000 0.0000 0.5000 O

***

*2*
CsNbI2O, relaxed, DFT PBE; space group = P4/mmm (123); N(E_F) = 6.92 states/eV/f.u.
1.0
6.7234 0.0000 0.0000
0.0000 6.7234 0.0000
0.0000 0.0000 4.3261
Cs I Nb O
1 2 1 1
Direct
0.0000 0.0000 0.0000 Cs
0.0000 0.5000 0.0000 I
0.5000 0.0000 0.0000 I
0.5000 0.5000 0.5000 Nb
0.0000 0.0000 0.5000 O

***

Name the most stable of them. *1*.